[1]
First-principles (PBE) data for a geometry-optimized TiNb3 structure, as listed in Alexandria.

M_tot, μB per atom: 0.00
ΔH_f (0 K), eV/atom: 0.210
Crystal system: cubic
Total DFT energy (no corrections), eV/atom: -9.316

```
TiNb3
1.0
-1.725 -3.532 1.443
0.771 -1.874 -3.664
3.736 -1.244 1.422
Nb Ti
3 1
Direct
0.000 0.500 0.500
0.500 0.500 0.000
0.500 0.000 0.500
0.000 0.000 0.000
```

***

[2]
First-principles (PBE) data for a geometry-optimized Gd2LuCd structure, as listed in Alexandria.

M_tot, μB per atom: 3.65
ΔH_f (0 K), eV/atom: 0.159
Crystal system: trigonal
Total DFT energy (no corrections), eV/atom: -8.241

```
Gd2LuCd
1.0
3.452 0.000 0.000
1.726 2.989 0.000
1.726 0.996 12.097
Lu Gd Cd
1 2 1
Direct
0.500 0.500 0.500
0.910 0.910 0.269
0.090 0.090 0.731
0.000 0.000 0.000
```

***

[3]
First-principles (PBE) data for a geometry-optimized HgTe2OsI structure, as listed in Alexandria.

Uncorrected formation energy, eV per atom: 0.56
M_tot, μB per atom: 0.00
Crystal system: tetragonal
Total DFT energy (no corrections), eV/atom: -3.315

```
HgTe2OsI
1.0
5.191 0.000 0.000
0.000 5.191 0.000
0.000 0.000 5.817
Os Te I Hg
1 2 1 1
Direct
0.000 0.000 0.000
0.500 0.000 0.000
0.000 0.500 0.000
0.000 0.000 0.500
0.500 0.500 0.500
```

***

Copy entry 1 word for word.
First-principles (PBE) data for a geometry-optimized TiNb3 structure, as listed in Alexandria.

M_tot, μB per atom: 0.00
ΔH_f (0 K), eV/atom: 0.210
Crystal system: cubic
Total DFT energy (no corrections), eV/atom: -9.316

```
TiNb3
1.0
-1.725 -3.532 1.443
0.771 -1.874 -3.664
3.736 -1.244 1.422
Nb Ti
3 1
Direct
0.000 0.500 0.500
0.500 0.500 0.000
0.500 0.000 0.500
0.000 0.000 0.000
```

***

total DFT energy (no corrections) of number 2 (Gd2LuCd)? -8.241 eV/atom

***

Which value of M_tot does entry 2 give? 3.65 μB per atom